Entry 1:
Here is ScCF2 after structural relaxation from the Alexandria database. Energies are from GGA-PBE.

Values from the calculation:
- offset from the most stable computed form (kJ/mol of formula units) = 170.1
- N(E_F) (states/eV/cell) = 3.3
- theoretical density (g/cm³) = 2.319
- symmetry = R-3m, No. 166
- formation energy without anion corrections (eV per atom) = -0.63
- E_tot (eV/atom) = -5.451

Unit cell a=8.576 b=8.576 c=8.576 alpha=20.55 beta=20.55 gamma=20.55
Fractional positions:
Sc: 0.500 0.500 0.500
C: 0.000 0.000 0.000
F: 0.881 0.881 0.881
F: 0.119 0.119 0.119


Entry 2:
Here is HoSn3Rh after structural relaxation from the Alexandria database. Energies are from GGA-PBE.

Values from the calculation:
- N(E_F) (states/eV/cell) = 4.4
- energy relative to the elements (meV/atom) = -386
- theoretical density (g/cm³) = 8.165
- symmetry = Ama2, No. 40
- E_tot (eV/atom) = -5.174

Unit cell a=4.442 b=6.796 c=9.068 alpha=112.01 beta=90.00 gamma=90.00
Fractional positions:
Sn: 0.750 0.763 0.641
Sn: 0.250 0.123 0.359
Rh: 0.250 0.520 0.107
Sn: 0.250 0.653 0.857
Sn: 0.750 0.796 0.143
Ho: 0.250 0.130 0.803
Sn: 0.250 0.726 0.417
Rh: 0.750 0.413 0.893
Ho: 0.750 0.327 0.197
Sn: 0.750 0.309 0.583


Entry 3:
Here is Ca3ZrPt after structural relaxation from the Alexandria database. Energies are from GGA-PBE.

Values from the calculation:
- offset from the most stable computed form (kJ/mol of formula units) = 519.0
- N(E_F) (states/eV/cell) = 4.9
- energy relative to the elements (meV/atom) = 1160
- theoretical density (g/cm³) = 4.278
- symmetry = Pm-3m, No. 221
- E_tot (eV/atom) = -2.959

Unit cell a=5.404 b=5.404 c=5.404 alpha=90.00 beta=90.00 gamma=90.00
Fractional positions:
Ca: 0.000 0.500 0.000
Ca: 0.500 0.000 0.000
Ca: 0.000 0.000 0.500
Pt: 0.500 0.500 0.500
Zr: 0.000 0.000 0.000


Entry 4:
Here is Zr6AuC3 after structural relaxation from the Alexandria database. Energies are from GGA-PBE.

Values from the calculation:
- N(E_F) (states/eV/cell) = 11.7
- energy relative to the elements (meV/atom) = -571
- theoretical density (g/cm³) = 7.578
- symmetry = P2_1/m, No. 11
- E_tot (eV/atom) = -8.795

Unit cell a=3.327 b=10.055 c=10.525 alpha=103.77 beta=90.00 gamma=90.00
Fractional positions:
Zr: 0.250 0.078 0.910
Zr: 0.250 0.318 0.755
C: 0.750 0.631 0.449
Zr: 0.250 0.476 0.365
C: 0.250 0.531 0.149
Zr: 0.250 0.190 0.208
C: 0.250 0.855 0.938
Au: 0.750 0.044 0.665
Zr: 0.750 0.213 0.477
C: 0.750 0.469 0.851
Zr: 0.750 0.524 0.635
Zr: 0.750 0.682 0.245
Zr: 0.250 0.617 0.953
C: 0.750 0.145 0.062
Au: 0.250 0.956 0.335
Zr: 0.250 0.787 0.523
Zr: 0.750 0.383 0.047
Zr: 0.750 0.810 0.792
C: 0.250 0.369 0.551
Zr: 0.750 0.922 0.090


Entry 5:
Here is BeFeAu after structural relaxation from the Alexandria database. Energies are from GGA-PBE.

Values from the calculation:
- offset from the most stable computed form (kJ/mol of formula units) = 53.0
- N(E_F) (states/eV/cell) = 2.4
- energy relative to the elements (meV/atom) = 214
- theoretical density (g/cm³) = 10.985
- symmetry = P3m1, No. 156
- E_tot (eV/atom) = -4.941

Unit cell a=2.752 b=2.752 c=6.034 alpha=90.00 beta=90.00 gamma=120.00
Fractional positions:
Be: 0.667 0.333 0.346
Fe: 0.333 0.667 0.635
Au: 0.000 0.000 0.019


Entry 6:
Here is Ce2MgHg4 after structural relaxation from the Alexandria database. Energies are from GGA-PBE.

Values from the calculation:
- offset from the most stable computed form (kJ/mol of formula units) = 159.6
- N(E_F) (states/eV/cell) = 19.8
- energy relative to the elements (meV/atom) = -6
- theoretical density (g/cm³) = 8.610
- symmetry = I4/mmm, No. 139
- E_tot (eV/atom) = -2.102

Unit cell a=5.148 b=5.148 c=8.840 alpha=106.93 beta=106.93 gamma=90.00
Fractional positions:
Mg: 0.000 0.000 0.000
Ce: 0.373 0.373 0.745
Hg: 0.178 0.178 0.356
Hg: 0.000 0.500 0.000
Ce: 0.627 0.627 0.255
Hg: 0.500 0.000 0.000
Hg: 0.822 0.822 0.644